# 1
Below is a relaxed structure of Li3Zr3AgTe8, with properties calculated at the PBE level.

Cell: 8.2079 8.2040 8.4666 Å, 118.96 90.00 120.02°
Last column: nearest neighbours and their distance in Å.
Fractional coordinates of all 15 atoms:
Zr  0.5000  0.0000  0.5000  6 Te 2.91-2.95
Te  0.7474  0.4948  0.2530  2 Zr 2.92, 1 Ag 2.98, 2 Li 2.98
Te  0.2498  0.4995  0.2494  3 Li 2.94-2.95, 3 Zr 2.95
Te  0.7469  0.0056  0.2526  2 Zr 2.91, 2 Li 2.98, 1 Ag 2.98
Zr  0.5000  0.5000  0.5000  6 Te 2.91-2.95
Ag  0.0000  0.0000  0.5000  6 Te 2.98
Te  0.7502  0.5005  0.7506  3 Li 2.94-2.95, 3 Zr 2.95
Zr  0.0000  0.5000  0.5000  6 Te 2.91-2.95
Li  0.0000  0.0000  0.0000  6 Te 2.94-2.98
Te  0.2531  0.9944  0.7474  2 Zr 2.91, 2 Li 2.98, 1 Ag 2.98
Te  0.2587  0.0056  0.2526  2 Zr 2.91, 2 Li 2.98, 1 Ag 2.98
Li  0.5000  0.5000  0.0000  6 Te 2.95-2.98
Te  0.7413  0.9944  0.7474  2 Zr 2.91, 2 Li 2.98, 1 Ag 2.98
Li  0.0000  0.5000  0.0000  6 Te 2.95-2.98
Te  0.2526  0.5052  0.7470  2 Zr 2.92, 1 Ag 2.98, 2 Li 2.98

As for the density of states at the Fermi level: 9.2 states/eV/f.u. The volume is 409 Å³/cell. The final energy comes out at -4.6995 eV per atom. The uncorrected formation energy is -0.742 eV/atom.


# 2
Below is a relaxed structure of Li2ZrAgTe4, with properties calculated at the PBE level.

Cell: 4.1270 7.5075 7.3053 Å, 111.31 90.00 90.00°
Last column: nearest neighbours and their distance in Å.
Fractional coordinates of all 8 atoms:
Te  0.0000  0.7411  0.2240  2 Ag 2.84, 1 Zr 2.96, 3 Li 3.04-3.16
Te  0.0000  0.2589  0.7760  2 Ag 2.84, 1 Zr 2.96, 3 Li 3.04-3.16
Te  0.5000  0.7722  0.7350  3 Li 2.83-2.97, 2 Zr 2.92
Ag  0.5000  0.5000  0.0000  4 Te 2.84
Li  0.5000  0.0000  0.5000  6 Te 2.83-3.04
Te  0.5000  0.2278  0.2650  3 Li 2.83-2.97, 2 Zr 2.92
Li  0.0000  0.5000  0.5000  6 Te 2.97-3.16
Zr  0.0000  0.0000  0.0000  6 Te 2.92-2.96

As for the density of states at the Fermi level: 3.9 states/eV/f.u. The volume is 211 Å³/cell. The final energy comes out at -4.1092 eV per atom. The uncorrected formation energy is -0.635 eV/atom.


# 3
Below is a relaxed structure of LiZrAgTe3, with properties calculated at the PBE level.

Cell: 4.1195 8.3039 9.9946 Å, 103.91 90.00 90.00°
Last column: nearest neighbours and their distance in Å.
Fractional coordinates of all 12 atoms:
Te  0.2500  0.7153  0.4743  3 Ag 2.86-3.00, 1 Zr 2.92, 3 Li 3.01-3.04
Te  0.2500  0.5776  0.8619  2 Li 2.94, 3 Zr 3.00-3.08
Te  0.7500  0.2847  0.5257  3 Ag 2.86-3.00, 1 Zr 2.92, 3 Li 3.01-3.04
Li  0.2500  0.3499  0.3259  5 Te 2.94-3.04
Ag  0.2500  0.0819  0.5976  4 Te 2.73-3.00, 2 Ag 2.94
Te  0.7500  0.9143  0.1282  1 Ag 2.73, 2 Zr 2.89
Ag  0.7500  0.9181  0.4024  4 Te 2.73-3.00, 2 Ag 2.94
Zr  0.2500  0.6925  0.1784  6 Te 2.89-3.08
Zr  0.7500  0.3075  0.8216  6 Te 2.89-3.08
Te  0.2500  0.0857  0.8718  1 Ag 2.73, 2 Zr 2.89
Li  0.7500  0.6501  0.6741  5 Te 2.94-3.04
Te  0.7500  0.4224  0.1381  2 Li 2.94, 3 Zr 3.00-3.08

As for the density of states at the Fermi level: 0.3 states/eV/f.u. The volume is 332 Å³/cell. The final energy comes out at -4.4779 eV per atom. The uncorrected formation energy is -0.688 eV/atom.